Record 1
PBE La2PrDy7, optimized geometry; crystal system = orthorhombic; energy above the most stable polymorph in this dataset = 140 meV per atom; calculated formation energy = 0.16 eV per atom; total energy = -45.22 eV per cell; density of states at the Fermi level = 1.867 states/eV/atom; spin magnetization = 0.002 Bohr magnetons per cell
1.0
-2.3509 -2.4449 0.9327
10.5711 -10.5284 -0.9530
-8.0477 10.4330 7.0633
Dy Pr La
7 1 2
Direct
0.5000 0.1479 0.3449 Dy
0.5000 0.6551 0.8521 Dy
0.0000 0.1849 0.8151 Dy
0.0000 0.8151 0.1849 Dy
0.5000 0.3449 0.1479 Dy
0.5000 0.8521 0.6551 Dy
0.5000 0.5000 0.5000 Dy
0.0000 0.0000 0.0000 Pr
0.5000 0.2943 0.7057 La
0.5000 0.7057 0.2943 La

Record 2
PBE La6Pr2Dy, optimized geometry; crystal system = orthorhombic; energy above the most stable polymorph in this dataset = 59 meV per atom; calculated formation energy = 0.11 eV per atom; total energy = -42.70 eV per cell; density of states at the Fermi level = 1.622 states/eV/atom; spin magnetization = 0.000 Bohr magnetons per cell
1.0
-1.4519 1.0697 -3.2373
-8.0400 -6.2510 1.5402
-8.6713 2.7865 4.8097
Pr La Dy
2 6 1
Direct
0.5000 0.1730 0.1730 Pr
0.5000 0.8270 0.8270 Pr
0.5000 0.6800 0.3200 La
0.5000 0.3200 0.6800 La
0.0000 0.5078 0.1647 La
0.0000 0.8353 0.4922 La
0.0000 0.4922 0.8353 La
0.0000 0.1647 0.5078 La
0.0000 0.0000 0.0000 Dy

Record 3
PBE La3Pr2Dy, optimized geometry; crystal system = orthorhombic; energy above the most stable polymorph in this dataset = 204 meV per atom; calculated formation energy = 0.22 eV per atom; total energy = -55.22 eV per cell; density of states at the Fermi level = 1.839 states/eV/atom; spin magnetization = 0.000 Bohr magnetons per cell
1.0
3.4925 0.0000 0.0000
0.0000 6.9330 0.0000
0.0000 0.0000 17.9795
La Pr Dy
6 4 2
Direct
0.0000 0.7577 0.3224 La
0.0000 0.2423 0.6776 La
0.5000 0.2577 0.1776 La
0.5000 0.5000 0.5000 La
0.5000 0.7423 0.8224 La
0.0000 0.0000 0.0000 La
0.5000 0.2336 0.8466 Pr
0.0000 0.7336 0.6534 Pr
0.0000 0.2664 0.3466 Pr
0.5000 0.7664 0.1534 Pr
0.5000 0.5000 0.0000 Dy
0.0000 0.0000 0.5000 Dy

Record 4
PBE LaPrDyPu, optimized geometry; crystal system = cubic; calculated formation energy = 0.21 eV per atom; total energy = -27.80 eV per cell; density of states at the Fermi level = 3.556 states/eV/atom; spin magnetization = 7.733 Bohr magnetons per cell
1.0
5.7282 0.0000 0.0000
2.8641 4.9608 0.0000
2.8641 1.6536 4.6771
Pu Dy Pr La
1 1 1 1
Direct
0.0000 0.0000 0.0000 Pu
0.5000 0.5000 0.5000 Dy
0.2500 0.2500 0.2500 Pr
0.7500 0.7500 0.7500 La

Record 5
PBE La3PrDy2S6, optimized geometry; crystal system = monoclinic; formation energy without anion corrections = -2419.2 kJ/mol of formula units; total energy = -78.60 eV per cell; density of states at the Fermi level = 0.479 states/eV/atom; spin magnetization = 0.000 Bohr magnetons per cell
1.0
-4.3942 -3.2196 4.4391
1.6716 -3.0253 -6.1183
6.0780 -0.9432 3.4748
S Dy La Pr
6 2 3 1
Direct
0.7335 0.7335 0.2329 S
0.9212 0.5772 0.7634 S
0.2665 0.2665 0.7671 S
0.4228 0.0788 0.2366 S
0.0788 0.4228 0.2366 S
0.5772 0.9212 0.7634 S
0.3334 0.6666 0.0000 Dy
0.6666 0.3334 0.0000 Dy
0.8371 0.1629 0.5000 La
0.1629 0.8371 0.5000 La
0.5000 0.5000 0.5000 La
0.0000 0.0000 0.0000 Pr

Record 6
PBE La4Pr3DyS8, optimized geometry; crystal system = trigonal; formation energy without anion corrections = -3226.1 kJ/mol of formula units; total energy = -105.11 eV per cell; density of states at the Fermi level = 0.525 states/eV/atom; spin magnetization = 0.000 Bohr magnetons per cell
1.0
-0.7477 -6.3717 5.1396
-3.7652 -4.3081 -5.8886
7.3960 3.3007 -1.4059
S Pr Dy La
8 3 1 4
Direct
0.7576 0.2585 0.5151 S
0.7566 0.7415 0.9990 S
0.2434 0.2585 0.0010 S
0.2425 0.7415 0.9990 S
0.7575 0.2585 0.0010 S
0.2424 0.7415 0.4849 S
0.2505 0.2515 0.5010 S
0.7495 0.7485 0.4990 S
0.5000 0.5000 0.0000 Pr
0.0000 0.5000 0.5000 Pr
0.5000 0.5000 0.5000 Pr
0.0000 0.5000 0.0000 Dy
0.5000 0.0000 0.5000 La
0.5000 0.0000 0.0000 La
0.0000 0.0000 0.0000 La
0.0000 0.0000 0.5000 La